[1]
# La3Tb4Dy2 (PBE-GGA, relaxed)
# **Total magnetic moment**: 0.0 μB per formula unit
# **Formation energy**: 0.0999 eV per atom
# **Electronic total energy**: -4.62 eV per atom
# **Mass density**: 7.614 g/cm3
# **ΔE to the lowest computed polymorph**: 78 meV per atom
data_La3Tb4Dy2
_space_group_name_H-M_alt 'C 1 2/c 1'
_space_group_IT_number 15
_cell_length_a 16.5172
_cell_length_b 11.8757
_cell_length_c 6.1810
_cell_angle_alpha 90.00
_cell_angle_beta 97.67
_cell_angle_gamma 90.00
loop_
_space_group_symop_operation_xyz
'x,y,z'
'-x,-y,-z'
'-x,y,-z+1/2'
'x,-y,z+1/2'
'x+1/2,y+1/2,z'
'-x+1/2,-y+1/2,-z'
'-x+1/2,y+1/2,-z+1/2'
'x+1/2,-y+1/2,z+1/2'
loop_
_atom_site_label
_atom_site_type_symbol
_atom_site_fract_x
_atom_site_fract_y
_atom_site_fract_z
La1 La 0.0000 0.1304 0.2500
La2 La 0.1667 0.3705 0.0831
Tb1 Tb 0.0557 0.3758 0.5335
Tb2 Tb 0.2222 0.1239 0.3669
Dy1 Dy 0.1107 0.1233 0.7996

***

[2]
# La12Tb3Dy (PBE-GGA, relaxed)
# **Total magnetic moment**: 0.0 μB per formula unit
# **Formation energy**: 0.0079 eV per atom
# **Electronic total energy**: -4.84 eV per atom
# **Mass density**: 6.767 g/cm3
data_La12Tb3Dy
_space_group_name_H-M_alt 'P 4/m m m'
_space_group_IT_number 123
_space_group_name_Hall '-P 4 2'
_cell_length_a 5.2128
_cell_length_b 5.2128
_cell_length_c 20.8254
_cell_angle_alpha 90.00
_cell_angle_beta 90.00
_cell_angle_gamma 90.00
loop_
_atom_site_label
_atom_site_type_symbol
_atom_site_fract_x
_atom_site_fract_y
_atom_site_fract_z
La1 La 0.0000 0.0000 0.0000
La2 La 0.0000 0.0000 0.2500
La3 La 0.0000 0.0000 0.5000
La4 La 0.0000 0.5000 0.1251
La5 La 0.0000 0.5000 0.3752
Tb1 Tb 0.5000 0.5000 0.0000
Tb2 Tb 0.5000 0.5000 0.2501
Dy1 Dy 0.5000 0.5000 0.5000

***

[3]
# LaTb5Dy7 (PBE-GGA, relaxed)
# **Total magnetic moment**: 0.0 μB per formula unit
# **Formation energy**: 0.2430 eV per atom
# **Electronic total energy**: -4.39 eV per atom
# **Mass density**: 7.934 g/cm3
data_LaTb5Dy7
_space_group_name_H-M_alt 'I m m 2'
_space_group_IT_number 44
_cell_length_a 6.6692
_cell_length_b 11.2016
_cell_length_c 11.6045
_cell_angle_alpha 90.00
_cell_angle_beta 90.00
_cell_angle_gamma 90.00
loop_
_space_group_symop_operation_xyz
'x,y,z'
'-x,-y,z'
'-x,y,z'
'x,-y,z'
'x+1/2,y+1/2,z+1/2'
'-x+1/2,-y+1/2,z+1/2'
'-x+1/2,y+1/2,z+1/2'
'x+1/2,-y+1/2,z+1/2'
loop_
_atom_site_label
_atom_site_type_symbol
_atom_site_fract_x
_atom_site_fract_y
_atom_site_fract_z
La1 La 0.0000 0.0000 0.0000
Tb1 Tb 0.0000 0.5000 0.2936
Tb2 Tb 0.2355 0.2316 0.7976
Dy1 Dy 0.0000 0.0000 0.3003
Dy2 Dy 0.0000 0.0000 0.6058
Dy3 Dy 0.0000 0.3313 0.5498
Dy4 Dy 0.0000 0.3316 0.0478
Dy5 Dy 0.0000 0.5000 0.8005

***

[4]
# La6TbDy3 (PBE-GGA, relaxed)
# **Total magnetic moment**: 0.0 μB per formula unit
# **Formation energy**: 0.1836 eV per atom
# **Electronic total energy**: -4.62 eV per atom
# **Mass density**: 6.859 g/cm3
data_La6TbDy3
_space_group_name_H-M_alt 'P 1 21/c 1'
_space_group_IT_number 14
_cell_length_a 5.6530
_cell_length_b 10.1269
_cell_length_c 12.5165
_cell_angle_alpha 90.00
_cell_angle_beta 90.04
_cell_angle_gamma 90.00
loop_
_space_group_symop_operation_xyz
'x,y,z'
'-x,-y,-z'
'-x,y+1/2,-z+1/2'
'x,-y+1/2,z+1/2'
loop_
_atom_site_label
_atom_site_type_symbol
_atom_site_fract_x
_atom_site_fract_y
_atom_site_fract_z
La1 La 0.0000 0.1797 0.1727
La2 La 0.4991 0.0584 0.7219
La3 La 0.4996 0.1855 0.4807
Tb1 Tb 0.5000 0.0000 0.0000
Dy1 Dy 0.0000 0.0000 0.5000
Dy2 Dy 0.9996 0.1461 0.9036

***

[5]
# LaTb3Dy4 (PBE-GGA, relaxed)
# **Total magnetic moment**: 0.0 μB per formula unit
# **Formation energy**: 0.1377 eV per atom
# **Electronic total energy**: -4.52 eV per atom
# **Mass density**: 8.066 g/cm3
# **ΔE to the lowest computed polymorph**: 117 meV per atom
data_LaTb3Dy4
_space_group_name_H-M_alt 'I m m m'
_space_group_IT_number 71
_space_group_name_Hall '-I 2 2'
_cell_length_a 3.4363
_cell_length_b 11.6580
_cell_length_c 13.0081
_cell_angle_alpha 90.00
_cell_angle_beta 90.00
_cell_angle_gamma 90.00
loop_
_atom_site_label
_atom_site_type_symbol
_atom_site_fract_x
_atom_site_fract_y
_atom_site_fract_z
La1 La 0.0000 0.0000 0.0000
Tb1 Tb 0.0000 0.0000 0.5000
Tb2 Tb 0.0000 0.5000 0.2574
Dy1 Dy 0.0000 0.2514 0.1349

***

[6]
# La4TbDy5 (PBE-GGA, relaxed)
# **Total magnetic moment**: 0.0 μB per formula unit
# **Formation energy**: 0.1861 eV per atom
# **Electronic total energy**: -4.55 eV per atom
# **Mass density**: 7.485 g/cm3
# **ΔE to the lowest computed polymorph**: 0 meV per atom
data_La4TbDy5
_space_group_name_H-M_alt 'P 4/n m m'
_space_group_IT_number 129
_cell_length_a 10.8091
_cell_length_b 10.8091
_cell_length_c 5.7994
_cell_angle_alpha 90.00
_cell_angle_beta 90.00
_cell_angle_gamma 90.00
loop_
_space_group_symop_operation_xyz
'x,y,z'
'-x,-y,-z'
'-y+1/2,x,z'
'y+1/2,-x,-z'
'-x+1/2,-y+1/2,z'
'x+1/2,y+1/2,-z'
'y,-x+1/2,z'
'-y,x+1/2,-z'
'x+1/2,-y,-z'
'-x+1/2,y,z'
'-y,-x,-z'
'y,x,z'
'-x,y+1/2,-z'
'x,-y+1/2,z'
'y+1/2,x+1/2,-z'
'-y+1/2,-x+1/2,z'
loop_
_atom_site_label
_atom_site_type_symbol
_atom_site_fract_x
_atom_site_fract_y
_atom_site_fract_z
La1 La 0.0447 0.7500 0.1245
Tb1 Tb 0.2500 0.2500 0.8838
Dy1 Dy 0.0907 0.0907 0.3492
Dy2 Dy 0.2500 0.7500 0.5000